Entry 1:
Pm3Pr2Zn2 PBE optimized geometry; M_tot = 0.01 μB per cell; ΔH_f (0 K) = -0.12 eV per atom; V = 209 Å³ per cell
1.0
1.8600 -15.4082 0.0000
1.8600 15.4082 0.0000
0.0000 0.0000 3.6452
Pm Pr Zn
3 2 2
direct
0.0000 0.0000 0.0000 Pm
0.4159 0.5841 0.5000 Pm
0.5841 0.4159 0.5000 Pm
0.2998 0.7002 0.5000 Pr
0.7002 0.2998 0.5000 Pr
0.1406 0.8594 0.0000 Zn
0.8594 0.1406 0.0000 Zn

***

Entry 2:
Pm2PrZn5 PBE optimized geometry; M_tot = 0.00 μB per cell; ΔH_f (0 K) = -0.29 eV per atom; V = 178 Å³ per cell
1.0
-2.4718 2.4718 7.3016
2.4718 -2.4718 7.3016
2.4718 2.4718 -7.3016
Pm Pr Zn
2 1 5
direct
0.2296 0.2296 0.0000 Pm
0.7704 0.7704 0.0000 Pm
0.5000 0.5000 0.0000 Pr
0.0000 0.0000 0.0000 Zn
0.1155 0.6155 0.5000 Zn
0.3845 0.8845 0.5000 Zn
0.6155 0.1155 0.5000 Zn
0.8845 0.3845 0.5000 Zn

***

Entry 3:
Pm2Pr6Zn PBE optimized geometry; M_tot = 0.00 μB per cell; ΔH_f (0 K) = 0.01 eV per atom; V = 605 Å³ per cell
1.0
10.2061 0.0000 0.0000
0.0000 10.5889 0.0000
0.0000 0.0000 5.6010
Pm Pr Zn
4 12 2
direct
0.1937 0.2431 0.0000 Pm
0.3063 0.7431 0.5000 Pm
0.6937 0.2569 0.5000 Pm
0.8063 0.7569 0.0000 Pm
0.0194 0.3060 0.5000 Pr
0.1325 0.8938 0.0000 Pr
0.1912 0.5665 0.0000 Pr
0.3088 0.0665 0.5000 Pr
0.3676 0.3938 0.5000 Pr
0.4806 0.8060 0.0000 Pr
0.5194 0.1940 0.0000 Pr
0.6324 0.6062 0.5000 Pr
0.6912 0.9335 0.5000 Pr
0.8088 0.4335 0.0000 Pr
0.8676 0.1062 0.0000 Pr
0.9806 0.6940 0.5000 Pr
0.0000 0.0000 0.5000 Zn
0.5000 0.5000 0.0000 Zn

***

Entry 4:
PmPr2Zn2 PBE optimized geometry; M_tot = 0.00 μB per cell; ΔH_f (0 K) = -0.23 eV per atom; V = 274 Å³ per cell
1.0
3.7440 0.0000 0.0000
0.0000 5.3015 0.0000
-1.8786 0.0000 13.7825
Pm Pr Zn
2 4 4
direct
0.1432 0.2500 0.2826 Pm
0.8568 0.7500 0.7174 Pm
0.0461 0.7500 0.0911 Pr
0.2310 0.7500 0.4628 Pr
0.7690 0.2500 0.5372 Pr
0.9539 0.2500 0.9089 Pr
0.3601 0.2500 0.7227 Zn
0.4491 0.7500 0.8994 Zn
0.5509 0.2500 0.1006 Zn
0.6399 0.7500 0.2773 Zn

***

Entry 5:
Pm2Pr2Zn PBE optimized geometry; M_tot = 0.00 μB per cell; ΔH_f (0 K) = -0.12 eV per atom; V = 156 Å³ per cell
1.0
-1.8457 1.8457 11.4682
1.8457 -1.8457 11.4682
1.8457 1.8457 -11.4682
Pm Pr Zn
2 2 1
direct
0.0780 0.0780 0.0000 Pm
0.9220 0.9220 0.0000 Pm
0.3072 0.3072 0.0000 Pr
0.6928 0.6928 0.0000 Pr
0.5000 0.5000 0.0000 Zn

***

Entry 6:
Pm2PrZr PBE optimized geometry; M_tot = 1.09 μB per cell; ΔH_f (0 K) = 0.25 eV per atom; V = 125 Å³ per cell
1.0
0.0000 3.9640 3.9640
3.9640 0.0000 3.9640
3.9640 3.9640 0.0000
Pm Pr Zr
2 1 1
direct
0.2500 0.2500 0.2500 Pm
0.7500 0.7500 0.7500 Pm
0.0000 0.0000 0.0000 Pr
0.5000 0.5000 0.5000 Zr

***

Entry 7:
Pm2PrZr PBE optimized geometry; M_tot = 0.00 μB per cell; ΔH_f (0 K) = 0.34 eV per atom; V = 126 Å³ per cell
1.0
1.7201 0.9931 12.2868
-1.7201 0.9931 12.2868
0.0000 -1.9862 12.2868
Pm Pr Zr
2 1 1
direct
0.0842 0.0842 0.0842 Pm
0.9158 0.9158 0.9158 Pm
0.5000 0.5000 0.5000 Pr
0.0000 0.0000 0.0000 Zr

***

Entry 8:
Pm2PrZr PBE optimized geometry; M_tot = 0.00 μB per cell; ΔH_f (0 K) = 0.12 eV per atom; V = 125 Å³ per cell
1.0
1.7627 1.0177 11.6116
-1.7627 1.0177 11.6116
0.0000 -2.0354 11.6116
Pm Pr Zr
2 1 1
direct
0.0000 0.0000 0.0000 Pm
0.1801 0.1801 0.1801 Pm
0.4225 0.4225 0.4225 Pr
0.5901 0.5901 0.5901 Zr

***

Entry 9:
Pm6Pr12Zr PBE optimized geometry; M_tot = 0.00 μB per cell; ΔH_f (0 K) = 0.04 eV per atom; V = 662 Å³ per cell
1.0
7.9884 4.6121 2.9956
-7.9884 4.6121 2.9956
0.0000 -9.2242 2.9956
Pm Pr Zr
6 12 1
direct
0.0377 0.1907 0.2926 Pm
0.1907 0.2926 0.0377 Pm
0.2926 0.0377 0.1907 Pm
0.7074 0.9623 0.8093 Pm
0.8093 0.7074 0.9623 Pm
0.9623 0.8093 0.7074 Pm
0.0842 0.5577 0.8736 Pr
0.1264 0.9158 0.4423 Pr
0.2423 0.6526 0.6022 Pr
0.3474 0.3978 0.7577 Pr
0.3978 0.7577 0.3474 Pr
0.4423 0.1264 0.9158 Pr
0.5577 0.8736 0.0842 Pr
0.6022 0.2423 0.6526 Pr
0.6526 0.6022 0.2423 Pr
0.7577 0.3474 0.3978 Pr
0.8736 0.0842 0.5577 Pr
0.9158 0.4423 0.1264 Pr
0.5000 0.5000 0.5000 Zr

***

Entry 10:
Pm2PrZr PBE optimized geometry; M_tot = 0.00 μB per cell; ΔH_f (0 K) = 0.14 eV per atom; V = 124 Å³ per cell
1.0
4.9853 0.0000 0.0000
0.0000 4.9853 0.0000
0.0000 0.0000 5.0082
Pm Pr Zr
2 1 1
direct
0.0000 0.5000 0.0000 Pm
0.5000 0.0000 0.0000 Pm
0.0000 0.0000 0.5000 Pr
0.5000 0.5000 0.5000 Zr

***

Entry 11:
Pm2PrZr PBE optimized geometry; M_tot = 0.00 μB per cell; ΔH_f (0 K) = 0.18 eV per atom; V = 125 Å³ per cell
1.0
4.0922 0.0000 0.0000
0.0000 4.0922 0.0000
0.0000 0.0000 7.4724
Pm Pr Zr
2 1 1
direct
0.0000 0.0000 0.2180 Pm
0.0000 0.0000 0.7820 Pm
0.5000 0.5000 0.5000 Pr
0.5000 0.5000 0.0000 Zr

***

Entry 12:
Pm3Pt PBE optimized geometry; M_tot = 0.00 μB per cell; ΔH_f (0 K) = -0.57 eV per atom; V = 929 Å³ per cell
1.0
12.0038 0.0000 0.0000
0.0000 12.0038 0.0000
0.0000 0.0000 6.4501
Pm Pt
24 8
direct
0.0360 0.5923 0.2110 Pm
0.0923 0.9640 0.7110 Pm
0.1168 0.1938 0.0200 Pm
0.1197 0.6683 0.7034 Pm
0.1683 0.8803 0.2034 Pm
0.1938 0.3832 0.4800 Pm
0.3062 0.1168 0.4800 Pm
0.3317 0.6197 0.2034 Pm
0.3803 0.8317 0.7034 Pm
0.3832 0.3062 0.0200 Pm
0.4077 0.5360 0.7110 Pm
0.4640 0.9077 0.2110 Pm
0.5360 0.0923 0.7890 Pm
0.5923 0.4640 0.2890 Pm
0.6168 0.6938 0.9800 Pm
0.6197 0.1683 0.2966 Pm
0.6683 0.3803 0.7966 Pm
0.6938 0.8832 0.5200 Pm
0.8062 0.6168 0.5200 Pm
0.8317 0.1197 0.7966 Pm
0.8803 0.3317 0.2966 Pm
0.8832 0.8062 0.9800 Pm
0.9077 0.0360 0.2890 Pm
0.9640 0.4077 0.7890 Pm
0.0602 0.1823 0.5072 Pt
0.1823 0.4398 0.9928 Pt
0.3177 0.0602 0.9928 Pt
0.4398 0.3177 0.5072 Pt
0.5602 0.6823 0.4928 Pt
0.6823 0.9398 0.0072 Pt
0.8177 0.5602 0.0072 Pt
0.9398 0.8177 0.4928 Pt

***

Entry 13:
Pm7Pt5 PBE optimized geometry; M_tot = 0.00 μB per cell; ΔH_f (0 K) = -0.97 eV per atom; V = 335 Å³ per cell
1.0
6.8780 -2.0226 0.0000
6.8780 2.0226 0.0000
-3.0006 0.0000 12.0254
Pm Pt
7 5
direct
0.0000 0.0000 0.0000 Pm
0.1556 0.1556 0.5470 Pm
0.2453 0.2453 0.8590 Pm
0.4597 0.4597 0.7168 Pm
0.5403 0.5403 0.2832 Pm
0.7547 0.7547 0.1410 Pm
0.8444 0.8444 0.4530 Pm
0.1984 0.1984 0.3135 Pt
0.3829 0.3829 0.0783 Pt
0.5000 0.5000 0.5000 Pt
0.6172 0.6172 0.9217 Pt
0.8016 0.8016 0.6865 Pt

***

Entry 14:
Pm2Pt7 PBE optimized geometry; M_tot = 0.00 μB per cell; ΔH_f (0 K) = -0.86 eV per atom; V = 343 Å³ per cell
1.0
2.7255 1.5736 13.3274
-2.7255 1.5736 13.3274
0.0000 -3.1471 13.3274
Pm Pt
4 14
direct
0.0493 0.0493 0.0493 Pm
0.1473 0.1473 0.1473 Pm
0.8527 0.8527 0.8527 Pm
0.9507 0.9507 0.9507 Pm
0.0000 0.5000 0.5000 Pt
0.1078 0.6135 0.6135 Pt
0.2776 0.2776 0.2776 Pt
0.3865 0.3865 0.8922 Pt
0.3865 0.8922 0.3865 Pt
0.3888 0.3888 0.3888 Pt
0.5000 0.0000 0.5000 Pt
0.5000 0.5000 0.0000 Pt
0.5000 0.5000 0.5000 Pt
0.6112 0.6112 0.6112 Pt
0.6135 0.1078 0.6135 Pt
0.6135 0.6135 0.1078 Pt
0.7224 0.7224 0.7224 Pt
0.8922 0.3865 0.3865 Pt

***

Entry 15:
Pm3Pt PBE optimized geometry; M_tot = 0.00 μB per cell; ΔH_f (0 K) = -0.57 eV per atom; V = 456 Å³ per cell
1.0
-6.0806 6.0806 3.0821
6.0806 -6.0806 3.0821
6.0806 6.0806 -3.0821
Pm Pt
12 4
direct
0.0982 0.5986 0.6899 Pm
0.1064 0.2501 0.8566 Pm
0.2400 0.3288 0.5003 Pm
0.2603 0.7600 0.0888 Pm
0.3935 0.2498 0.1434 Pm
0.4014 0.0913 0.4996 Pm
0.5917 0.9018 0.5004 Pm
0.6712 0.1715 0.9112 Pm
0.7499 0.6065 0.8563 Pm
0.7502 0.8936 0.1437 Pm
0.8285 0.7397 0.4997 Pm
0.9087 0.4083 0.3101 Pm
0.2499 0.0480 0.7976 Pt
0.2504 0.4522 0.2024 Pt
0.5478 0.7501 0.7981 Pt
0.9520 0.7496 0.2019 Pt

***

Entry 16:
Pm5Pt4 PBE optimized geometry; M_tot = 0.00 μB per cell; ΔH_f (0 K) = -1.04 eV per atom; V = 234 Å³ per cell
1.0
5.4042 -1.9439 0.0000
5.4042 1.9439 0.0000
-3.1505 0.0000 11.1487
Pm Pt
5 4
direct
0.0000 0.0000 0.0000 Pm
0.1079 0.1079 0.3975 Pm
0.2197 0.2197 0.8003 Pm
0.7803 0.7803 0.1997 Pm
0.8921 0.8921 0.6025 Pm
0.3822 0.3822 0.3971 Pt
0.4986 0.4986 0.1900 Pt
0.5014 0.5014 0.8100 Pt
0.6178 0.6178 0.6029 Pt

***

Entry 17:
Pm7Pt3 PBE optimized geometry; M_tot = 0.00 μB per cell; ΔH_f (0 K) = -0.77 eV per atom; V = 571 Å³ per cell
1.0
10.1346 0.0000 0.0000
-5.0673 8.7768 0.0000
0.0000 0.0000 6.4205
Pm Pt
14 6
direct
0.0751 0.5376 0.0000 Pm
0.1265 0.2530 0.3003 Pm
0.1265 0.8735 0.3003 Pm
0.2530 0.1265 0.8003 Pm
0.3333 0.6667 0.5107 Pm
0.4624 0.5376 0.0000 Pm
0.4624 0.9249 0.0000 Pm
0.5376 0.0751 0.5000 Pm
0.5376 0.4624 0.5000 Pm
0.6667 0.3333 0.0107 Pm
0.7470 0.8735 0.3003 Pm
0.8735 0.1265 0.8003 Pm
0.8735 0.7470 0.8003 Pm
0.9249 0.4624 0.5000 Pm
0.1893 0.3787 0.7464 Pt
0.1893 0.8107 0.7464 Pt
0.3787 0.1893 0.2464 Pt
0.6213 0.8107 0.7464 Pt
0.8107 0.1893 0.2464 Pt
0.8107 0.6213 0.2464 Pt

***

Entry 18:
Pm4Pt3 PBE optimized geometry; M_tot = 0.00 μB per cell; ΔH_f (0 K) = -1.00 eV per atom; V = 361 Å³ per cell
1.0
-4.4846 4.4846 4.4846
4.4846 -4.4846 4.4846
4.4846 4.4846 -4.4846
Pm Pt
8 6
direct
0.0000 0.3783 0.5000 Pm
0.0000 0.8783 0.5000 Pm
0.1217 0.1217 0.1217 Pm
0.3783 0.5000 0.0000 Pm
0.5000 0.0000 0.3783 Pm
0.5000 0.0000 0.8783 Pm
0.6217 0.6217 0.6217 Pm
0.8783 0.5000 0.0000 Pm
0.1250 0.7500 0.8750 Pt
0.2500 0.6250 0.3750 Pt
0.3750 0.2500 0.6250 Pt
0.6250 0.3750 0.2500 Pt
0.7500 0.8750 0.1250 Pt
0.8750 0.1250 0.7500 Pt

***

Entry 19:
Pm4Pt3 PBE optimized geometry; M_tot = 0.00 μB per cell; ΔH_f (0 K) = -1.00 eV per atom; V = 355 Å³ per cell
1.0
6.2368 3.6008 2.6356
-6.2368 3.6008 2.6356
0.0000 -7.2016 2.6356
Pm Pt
8 6
direct
0.0000 0.0000 0.0000 Pm
0.1544 0.2825 0.6740 Pm
0.2825 0.6740 0.1544 Pm
0.3260 0.8456 0.7175 Pm
0.5000 0.5000 0.5000 Pm
0.6740 0.1544 0.2825 Pm
0.7175 0.3260 0.8456 Pm
0.8456 0.7175 0.3260 Pm
0.0477 0.4287 0.2972 Pt
0.2972 0.0477 0.4287 Pt
0.4287 0.2972 0.0477 Pt
0.5713 0.7028 0.9523 Pt
0.7028 0.9523 0.5713 Pt
0.9523 0.5713 0.7028 Pt

***

Entry 20:
Pm5Pt PBE optimized geometry; M_tot = 0.00 μB per cell; ΔH_f (0 K) = -0.22 eV per atom; V = 181 Å³ per cell
1.0
1.8838 -8.4844 0.0000
1.8838 8.4844 0.0000
0.0000 0.0000 5.6579
Pm Pt
5 1
direct
0.0000 0.0000 0.0000 Pm
0.1376 0.8624 0.5000 Pm
0.3326 0.6674 0.0000 Pm
0.6674 0.3326 0.0000 Pm
0.8624 0.1376 0.5000 Pm
0.5000 0.5000 0.5000 Pt

***

Entry 21:
Pm2Pt17 PBE optimized geometry; M_tot = 0.00 μB per cell; ΔH_f (0 K) = -0.41 eV per atom; V = 335 Å³ per cell
1.0
4.6514 2.6855 4.4706
-4.6514 2.6855 4.4706
0.0000 -5.3709 4.4706
Pm Pt
2 17
direct
0.1633 0.1633 0.1633 Pm
0.8367 0.8367 0.8367 Pm
0.0000 0.5000 0.5000 Pt
0.1529 0.1529 0.6612 Pt
0.1529 0.6612 0.1529 Pt
0.1913 0.5000 0.8087 Pt
0.1913 0.8087 0.5000 Pt
0.3388 0.8471 0.8471 Pt
0.3933 0.3933 0.3933 Pt
0.5000 0.0000 0.5000 Pt
0.5000 0.1913 0.8087 Pt
0.5000 0.5000 0.0000 Pt
0.5000 0.8087 0.1913 Pt
0.6067 0.6067 0.6067 Pt
0.6612 0.1529 0.1529 Pt
0.8087 0.1913 0.5000 Pt
0.8087 0.5000 0.1913 Pt
0.8471 0.3388 0.8471 Pt
0.8471 0.8471 0.3388 Pt